Entry 1:
This record from Alexandria via LeMat-Bulk describes a geometry-optimized Ac3Tm2Cd2 structure. The functional is PBE.

Cell lengths 5.313, 3.745, 12.349 Å; angles 90.00, 77.58, 90.00 degrees
Positions (direct):
Ac1 0.151 0.000 0.698
Tm1 0.713 0.500 0.574
Ac2 0.849 0.000 0.302
Cd1 0.427 0.500 0.146
Ac3 0.000 0.000 0.000
Tm2 0.287 0.500 0.426
Cd2 0.573 0.500 0.854

## Properties
The value obtained for the energy of formation from the pure elements is -0.016 eV/atom.

***

Entry 2:
This record from Alexandria via LeMat-Bulk describes a geometry-optimized Ac4TmCd3 structure. The functional is PBE.

Cell lengths 4.002, 5.867, 11.801 Å; angles 90.00, 90.00, 90.00 degrees
Positions (direct):
Cd1 0.500 0.500 0.500
Ac1 0.000 0.500 0.258
Cd2 0.500 0.000 0.757
Ac2 0.000 0.000 0.000
Ac3 0.000 0.000 0.500
Cd3 0.500 0.000 0.243
Tm1 0.500 0.500 0.000
Ac4 0.000 0.500 0.742

## Properties
The value obtained for the energy of formation from the pure elements is -0.178 eV/atom.

***

Entry 3:
This record from Alexandria via LeMat-Bulk describes a geometry-optimized Ac3TmCd4 structure. The functional is PBE.

Cell lengths 3.949, 3.949, 16.197 Å; angles 90.00, 90.00, 90.00 degrees
Positions (direct):
Cd1 0.000 0.000 0.630
Cd2 0.000 0.000 0.101
Ac1 0.500 0.500 0.237
Ac2 0.500 0.500 0.500
Tm1 0.500 0.500 0.000
Cd3 0.000 0.000 0.370
Cd4 0.000 0.000 0.899
Ac3 0.500 0.500 0.763

## Properties
The value obtained for the energy of formation from the pure elements is -0.274 eV/atom.

***

Entry 4:
This record from Alexandria via LeMat-Bulk describes a geometry-optimized AcTmCd17 structure. The functional is PBE.

Cell lengths 7.718, 7.718, 7.718 Å; angles 82.21, 82.21, 82.21 degrees
Positions (direct):
Cd1 0.699 0.004 0.296
Cd2 0.979 0.979 0.523
Cd3 0.699 0.296 0.004
Cd4 0.004 0.699 0.296
Tm1 0.325 0.325 0.325
Cd5 0.107 0.107 0.107
Cd6 0.979 0.523 0.979
Cd7 0.348 0.348 0.876
Cd8 0.620 0.620 0.201
Cd9 0.523 0.979 0.979
Cd10 0.910 0.910 0.910
Cd11 0.876 0.348 0.348
Cd12 0.004 0.296 0.699
Cd13 0.296 0.004 0.699
Ac1 0.665 0.665 0.665
Cd14 0.620 0.201 0.620
Cd15 0.296 0.699 0.004
Cd16 0.348 0.876 0.348
Cd17 0.201 0.620 0.620

## Properties
The value obtained for the energy of formation from the pure elements is -0.131 eV/atom.

***

Number 1 is which compound? Ac3Tm2Cd2

***

Copy entry 1 word for word.
This record from Alexandria via LeMat-Bulk describes a geometry-optimized Ac3Tm2Cd2 structure. The functional is PBE.

Cell lengths 5.313, 3.745, 12.349 Å; angles 90.00, 77.58, 90.00 degrees
Positions (direct):
Ac1 0.151 0.000 0.698
Tm1 0.713 0.500 0.574
Ac2 0.849 0.000 0.302
Cd1 0.427 0.500 0.146
Ac3 0.000 0.000 0.000
Tm2 0.287 0.500 0.426
Cd2 0.573 0.500 0.854

## Properties
The value obtained for the energy of formation from the pure elements is -0.016 eV/atom.